# 1
# TmCdTe3Au

An optimized crystal structure of TmCdTe3Au (PBE-GGA, OQMD via LeMat-Bulk).

Cell: 8.286 4.195 10.167 Å, 90.00 103.74 90.00°
Space group P2_1/m (No. 11)
One atom of each set of equivalent atoms:
Tm 0.205 0.250 0.187
Cd 0.222 0.750 0.715
Te 0.082 0.250 0.870
Te 0.209 0.250 0.489
Te 0.453 0.750 0.153
Au 0.402 0.750 0.409

Results
The calculation puts the raw total energy at -3.617 eV/atom. For the magnetization, the calculation gives 0.01 μB/f.u.

# 2
# CdCuNiB

An optimized crystal structure of CdCuNiB (PBE-GGA, OQMD via LeMat-Bulk).

Cell: 5.841 5.841 5.841 Å, 90.00 90.00 90.00°
Space group F-43m (No. 216)
One atom of each set of equivalent atoms:
Cd 0.000 0.000 0.000
Cu 0.000 0.000 0.500
Ni 0.250 0.250 0.750
B 0.250 0.250 0.250

Results
The calculation puts the raw total energy at -3.511 eV/atom. For the magnetization, the calculation gives 0.00 μB/f.u.

# 3
# HoErFe2Ge2B

An optimized crystal structure of HoErFe2Ge2B (PBE-GGA, OQMD via LeMat-Bulk).

Cell: 10.701 4.062 6.835 Å, 90.00 129.53 90.00°
Space group Cm (No. 8)
One atom of each set of equivalent atoms:
Ho 0.000 0.000 0.000
Er 0.384 0.500 0.356
Fe 0.147 0.500 0.491
Fe 0.236 0.000 0.863
Ge 0.107 0.500 0.793
Ge 0.277 0.000 0.562
B 0.441 0.000 0.178

Results
The calculation puts the raw total energy at -6.542 eV/atom. For the magnetization, the calculation gives 0.01 μB/f.u.

# 4
# CoGeMoAu

An optimized crystal structure of CoGeMoAu (PBE-GGA, OQMD via LeMat-Bulk).

Cell: 6.205 6.205 6.205 Å, 90.00 90.00 90.00°
Space group F-43m (No. 216)
One atom of each set of equivalent atoms:
Co 0.000 0.000 0.000
Ge 0.250 0.250 0.750
Mo 0.000 0.000 0.500
Au 0.250 0.250 0.250

Results
The calculation puts the raw total energy at -6.190 eV/atom. For the magnetization, the calculation gives 0.97 μB/f.u.

Question: The lowest magnetization belongs to which entry?
Answer: CdCuNiB

Question: Which of these has the lowest raw total energy?
Answer: HoErFe2Ge2B

Question: Which formula does entry 2 have?
Answer: CdCuNiB